Record 1
This record from the Alexandria database describes an optimized crystal structure of Ho2ErMn. The functional is PBE-GGA.

Formation energy in meV/atom: 121
Space group: No. 123
Energy relative to the lowest polymorph listed for this composition in eV/atom: 0.000
Total magnetization in μB per formula unit: 3.66

Lattice parameters (Å, degrees): 3.5120 3.5120 8.5557 90.00 90.00 90.00
Last column: nearest neighbours and their distance in Å.
Fractional coordinates of all 4 atoms:
Ho  0.0000  0.0000  0.2024  4 Mn 3.03
Ho  0.0000  0.0000  0.7976  4 Mn 3.03
Er  0.5000  0.5000  0.5000  4 Er 3.51, 8 Ho 3.56
Mn  0.5000  0.5000  0.0000  8 Ho 3.03

---

Record 2
This record from the Alexandria database describes an optimized crystal structure of ScSiIrRh. The functional is PBE-GGA.

Space group: No. 216
Uncorrected formation energy in eV per atom: -0.831
Total magnetization in μB per formula unit: 0.50

Lattice parameters (Å, degrees): 4.3748 4.3748 4.3748 60.00 60.00 60.00
Last column: nearest neighbours and their distance in Å.
Fractional coordinates of all 4 atoms:
Sc  0.0000  0.0000  0.0000  4 Ir 2.68, 4 Rh 2.68
Si  0.5000  0.5000  0.5000  4 Ir 2.68, 4 Rh 2.68
Ir  0.7500  0.7500  0.7500  4 Sc 2.68, 4 Si 2.68
Rh  0.2500  0.2500  0.2500  4 Sc 2.68, 4 Si 2.68

---

Record 3
This record from the Alexandria database describes an optimized crystal structure of NaInTeI2. The functional is PBE-GGA.

Space group: No. 123
Uncorrected formation energy in eV per atom: -0.122
Energy relative to the lowest polymorph listed for this composition in eV/atom: 0.259
Total magnetization in μB per formula unit: 2.03

Lattice parameters (Å, degrees): 6.0545 6.0545 5.8065 90.00 90.00 90.00
Last column: nearest neighbours and their distance in Å.
Fractional coordinates of all 5 atoms:
Na  0.0000  0.0000  0.0000  2 Te 2.90, 4 I 3.03
In  0.5000  0.5000  0.5000  8 I 4.19, 4 Te 4.28
Te  0.0000  0.0000  0.5000  2 Na 2.90
I  0.0000  0.5000  0.0000  2 Na 3.03
I  0.5000  0.0000  0.0000  2 Na 3.03

---

Record 4
This record from the Alexandria database describes an optimized crystal structure of CuNiSe2. The functional is PBE-GGA.

Space group: No. 140
Uncorrected formation energy in eV per atom: 0.129
Total magnetization in μB per formula unit: 0.00

Lattice parameters (Å, degrees): 5.7573 5.7573 5.7573 101.61 101.61 126.70
Last column: nearest neighbours and their distance in Å.
Fractional coordinates of all 8 atoms:
Cu  0.2500  0.2500  0.0000  2 Cu 2.58
Cu  0.7500  0.7500  0.0000  2 Cu 2.58
Ni  0.2500  0.7500  0.5000  4 Se 2.33, 2 Ni 2.58
Ni  0.7500  0.2500  0.5000  4 Se 2.33, 2 Ni 2.58
Se  0.1887  0.6887  0.8775  2 Ni 2.33
Se  0.3113  0.1887  0.5000  2 Ni 2.33
Se  0.6887  0.8113  0.5000  2 Ni 2.33
Se  0.8113  0.3113  0.1225  2 Ni 2.33

---

Record 5
This record from the Alexandria database describes an optimized crystal structure of Tc2AuCl. The functional is PBE-GGA.

Space group: No. 166
Uncorrected formation energy in eV per atom: 0.574
Energy relative to the lowest polymorph listed for this composition in eV/atom: 0.487
Total magnetization in μB per formula unit: 0.01

Lattice parameters (Å, degrees): 8.7214 8.7214 8.7214 19.09 19.09 19.09
Last column: nearest neighbours and their distance in Å.
Fractional coordinates of all 4 atoms:
Tc  0.2446  0.2446  0.2446  3 Cl 2.61, 3 Au 2.82, 6 Tc 2.89
Tc  0.7554  0.7554  0.7554  3 Cl 2.61, 3 Au 2.82, 6 Tc 2.89
Au  0.0000  0.0000  0.0000  6 Tc 2.82, 6 Au 2.89
Cl  0.5000  0.5000  0.5000  6 Tc 2.61, 6 Cl 2.89

---

Record 6
This record from the Alexandria database describes an optimized crystal structure of Ac6PdPt4. The functional is PBE-GGA.

Formation energy in meV/atom: -1022
Space group: No. 63
Total magnetization in μB per formula unit: 0.00

Lattice parameters (Å, degrees): 7.5626 7.5626 22.4131 90.00 90.00 146.53
Last column: nearest neighbours and their distance in Å.
Fractional coordinates of all 22 atoms:
Ac  0.0000  0.0000  0.0000  6 Pt 3.10-3.19
Ac  0.0000  0.0000  0.5000  6 Pt 3.10-3.19
Ac  0.1900  0.8100  0.7500  2 Pt 3.05, 2 Pd 3.13
Ac  0.2739  0.7261  0.0834  5 Pt 3.08-3.10
Ac  0.2739  0.7261  0.4166  5 Pt 3.08-3.10
Ac  0.4545  0.5455  0.6623  3 Pt 3.00-3.05, 2 Pd 3.33
Ac  0.4545  0.5455  0.8377  3 Pt 3.00-3.05, 2 Pd 3.33
Ac  0.5455  0.4545  0.1623  3 Pt 3.00-3.05, 2 Pd 3.33
Ac  0.5455  0.4545  0.3377  3 Pt 3.00-3.05, 2 Pd 3.33
Ac  0.7261  0.2739  0.5834  5 Pt 3.08-3.10
Ac  0.7261  0.2739  0.9166  5 Pt 3.08-3.10
Ac  0.8100  0.1900  0.2500  2 Pt 3.05, 2 Pd 3.13
Pd  0.1549  0.8451  0.2500  6 Ac 3.13-3.33
Pd  0.8451  0.1549  0.7500  6 Ac 3.13-3.33
Pt  0.0930  0.9070  0.6292  6 Ac 3.05-3.19
Pt  0.0930  0.9070  0.8708  6 Ac 3.05-3.19
Pt  0.3624  0.6376  0.5426  6 Ac 3.00-3.10
Pt  0.3624  0.6376  0.9574  6 Ac 3.00-3.10
Pt  0.6376  0.3624  0.0426  6 Ac 3.00-3.10
Pt  0.6376  0.3624  0.4574  6 Ac 3.00-3.10
Pt  0.9070  0.0930  0.1292  6 Ac 3.05-3.19
Pt  0.9070  0.0930  0.3708  6 Ac 3.05-3.19

---

Record 7
This record from the Alexandria database describes an optimized crystal structure of La8CoAu2. The functional is PBE-GGA.

Formation energy in meV/atom: -319
Space group: No. 12
Total magnetization in μB per formula unit: 0.00

Lattice parameters (Å, degrees): 9.7356 9.7356 9.2576 94.20 94.20 23.67
Last column: nearest neighbours and their distance in Å.
Fractional coordinates of all 11 atoms:
La  0.0047  0.0047  0.1998  2 Co 2.72
La  0.2203  0.2203  0.3411  2 Au 3.08
La  0.3472  0.3472  0.0036  1 Co 2.91, 2 Au 3.13
La  0.4101  0.4101  0.4874  2 Au 3.17, 1 La 3.42
La  0.5899  0.5899  0.5126  2 Au 3.17, 1 La 3.42
La  0.6528  0.6528  0.9964  1 Co 2.91, 2 Au 3.13
La  0.7797  0.7797  0.6589  2 Au 3.08
La  0.9953  0.9953  0.8002  2 Co 2.72
Co  0.5000  0.5000  0.0000  6 La 2.72-2.91
Au  0.1660  0.1660  0.7397  7 La 3.08-3.34
Au  0.8340  0.8340  0.2603  7 La 3.08-3.34

---

Record 8
This record from the Alexandria database describes an optimized crystal structure of TlCdSnSe3. The functional is PBE-GGA.

Space group: No. 11
Uncorrected formation energy in eV per atom: -0.404
Total magnetization in μB per formula unit: 0.00

Lattice parameters (Å, degrees): 8.8954 4.1586 9.9294 90.00 103.58 90.00
Last column: nearest neighbours and their distance in Å.
Fractional coordinates of all 12 atoms:
Tl  0.2062  0.2500  0.2393  7 Se 3.25-3.50
Tl  0.7938  0.7500  0.7607  7 Se 3.25-3.50
Cd  0.0850  0.2500  0.6131  4 Se 2.67-2.80
Cd  0.9150  0.7500  0.3869  4 Se 2.67-2.80
Sn  0.3322  0.7500  0.8791  5 Se 2.75-2.91
Sn  0.6678  0.2500  0.1209  5 Se 2.75-2.91
Se  0.1100  0.2500  0.8860  1 Cd 2.67, 2 Sn 2.88
Se  0.2276  0.7500  0.5266  3 Cd 2.68-2.80
Se  0.4535  0.7500  0.1605  3 Sn 2.75-2.91
Se  0.5465  0.2500  0.8395  3 Sn 2.75-2.91
Se  0.7724  0.2500  0.4734  3 Cd 2.68-2.80
Se  0.8900  0.7500  0.1140  1 Cd 2.67, 2 Sn 2.88

---

Record 9
This record from the Alexandria database describes an optimized crystal structure of ReTcTe. The functional is PBE-GGA.

Space group: No. 216
Uncorrected formation energy in eV per atom: 0.494
Energy relative to the lowest polymorph listed for this composition in eV/atom: 0.070
Total magnetization in μB per formula unit: 0.00

Lattice parameters (Å, degrees): 4.3527 4.3527 4.3527 60.00 60.00 60.00
Last column: nearest neighbours and their distance in Å.
Fractional coordinates of all 3 atoms:
Re  0.0000  0.0000  0.0000  4 Tc 2.67, 4 Te 2.67
Tc  0.2500  0.2500  0.2500  4 Re 2.67
Te  0.7500  0.7500  0.7500  4 Re 2.67

---

Record 10
This record from the Alexandria database describes an optimized crystal structure of YHo2Er6Tm3. The functional is PBE-GGA.

Formation energy in meV/atom: 24
Space group: No. 12
Total magnetization in μB per formula unit: 0.01

Lattice parameters (Å, degrees): 6.0760 6.0760 11.6355 94.99 94.99 119.92
Last column: nearest neighbours and their distance in Å.
Fractional coordinates of all 12 atoms:
Y  0.0000  0.0000  0.0000  6 Ho 3.51, 6 Er 3.52-3.53
Ho  0.3334  0.6666  0.0000  3 Ho 3.51, 3 Y 3.51, 6 Er 3.52
Ho  0.6666  0.3334  0.0000  3 Ho 3.51, 3 Y 3.51, 6 Er 3.52
Er  0.0843  0.4184  0.2514  3 Tm 3.49-3.50, 6 Er 3.50-3.52, 2 Ho 3.52, 1 Y 3.53
Er  0.2498  0.2498  0.7485  3 Tm 3.49-3.50, 6 Er 3.50-3.52, 2 Ho 3.52, 1 Y 3.52
Er  0.4184  0.0843  0.2514  3 Tm 3.49-3.50, 6 Er 3.50-3.52, 2 Ho 3.52, 1 Y 3.53
Er  0.5816  0.9157  0.7486  3 Tm 3.49-3.50, 6 Er 3.50-3.52, 2 Ho 3.52, 1 Y 3.53
Er  0.7502  0.7502  0.2515  3 Tm 3.49-3.50, 6 Er 3.50-3.52, 2 Ho 3.52, 1 Y 3.52
Er  0.9157  0.5816  0.7486  3 Tm 3.49-3.50, 6 Er 3.50-3.52, 2 Ho 3.52, 1 Y 3.53
Tm  0.1667  0.8333  0.5000  6 Er 3.49-3.50, 6 Tm 3.51
Tm  0.5000  0.5000  0.5000  6 Er 3.49-3.50, 6 Tm 3.51
Tm  0.8333  0.1667  0.5000  6 Er 3.49-3.50, 6 Tm 3.51

---

Record 11
This record from the Alexandria database describes an optimized crystal structure of MnFeNi5. The functional is PBE-GGA.

Formation energy in meV/atom: 167
Space group: No. 123
Energy relative to the lowest polymorph listed for this composition in eV/atom: 0.120
Total magnetization in μB per formula unit: 8.20

Lattice parameters (Å, degrees): 3.5244 3.5244 6.8737 90.00 90.00 90.00
Last column: nearest neighbours and their distance in Å.
Fractional coordinates of all 7 atoms:
Mn  0.0000  0.0000  0.0000  8 Ni 2.44
Fe  0.5000  0.5000  0.5000  12 Ni 2.49
Ni  0.0000  0.0000  0.5000  8 Ni 2.49, 4 Fe 2.49
Ni  0.0000  0.5000  0.2451  2 Mn 2.44, 2 Fe 2.49, 6 Ni 2.49
Ni  0.0000  0.5000  0.7549  2 Mn 2.44, 2 Fe 2.49, 6 Ni 2.49
Ni  0.5000  0.0000  0.2451  2 Mn 2.44, 2 Fe 2.49, 6 Ni 2.49
Ni  0.5000  0.0000  0.7549  2 Mn 2.44, 2 Fe 2.49, 6 Ni 2.49

---

Record 12
This record from the Alexandria database describes an optimized crystal structure of ThScBeAl. The functional is PBE-GGA.

Formation energy in meV/atom: -79
Space group: No. 216
Total magnetization in μB per formula unit: 0.00

Lattice parameters (Å, degrees): 4.9227 4.9227 4.9227 60.00 60.00 60.00
Last column: nearest neighbours and their distance in Å.
Fractional coordinates of all 4 atoms:
Th  0.0000  0.0000  0.0000  4 Be 3.01, 4 Al 3.01
Sc  0.5000  0.5000  0.5000  4 Be 3.01, 4 Al 3.01
Be  0.7500  0.7500  0.7500  4 Th 3.01, 4 Sc 3.01
Al  0.2500  0.2500  0.2500  4 Th 3.01, 4 Sc 3.01